# CoPbSeO

A geometry-optimized CoPbSeO structure (PBE+U, OQMD via LeMat-Bulk).

```
8
Lattice="3.438 -1.985 0.000 3.438 1.985 0.000 0.000 0.000 12.181" Properties=species:S:1:pos:R:3 pbc="T T T"
Co 0.002 0.000 0.010
Co 6.875 0.000 6.101
Se 2.290 0.000 5.181
Pb 4.584 0.000 2.794
Se 4.586 0.000 11.271
Pb 2.292 0.000 8.884
O 0.000 0.000 8.001
O 0.000 0.000 1.911
```

Values from the calculation:
The calculated volume is 166.3 Å³ per cell. As for the total magnetic moment: 0.75 μB per atom. The calculation puts the total energy at -20.0 eV/f.u. The calculation puts the distance to the lowest polymorph of the same formula at 34 meV per atom. Its space group is P6_3mc.